Below is an optimized crystal structure of CeLu2Pb, with properties calculated at the GGA-PBE level.

Calculated values
The calculation puts the theoretical density at 10.48 g cm⁻³. As for the total energy: -0.1797 Ha/atom. The density of states at the Fermi level is 7.5 states/eV/cell. Its relative energy among the computed polymorphs is 0.000 eV per atom. Its formation energy is -5.1 kcal/mol of atoms.

Cell: 4.6576 4.8694 4.8694 Å, 90.00 90.00 90.00°
Last column: nearest neighbours and their distance in Å.
Element x y z (fractional)
Ce  0.5000  0.0000  0.0000  8 Lu 3.37, 4 Pb 3.44
Lu  0.0000  0.0000  0.5000  4 Pb 3.37, 4 Ce 3.37, 4 Lu 3.44
Lu  0.0000  0.5000  0.0000  4 Pb 3.37, 4 Ce 3.37, 4 Lu 3.44
Pb  0.5000  0.5000  0.5000  8 Lu 3.37, 4 Ce 3.44